VASP calculation (PBE) on Co3HRh after structural relaxation.

Properties
The calculation puts the volume at 96 Å³ per cell. The calculation puts the total DFT energy (no corrections) at -4.5446 eV per atom. The energy above the lowest structure with this stoichiometry is 9.08 eV/f.u.

Cell lengths 4.5849, 4.5849, 4.5849 Å; angles 90.00, 90.00, 90.00 degrees
Last column: nearest neighbours and their distance in Å.
Space group Pm-3m (No. 221)
Unique sites:
Co  0.0000  0.0000  0.5000 (multiplicity 3)  2 Rh 2.29
H  0.5000  0.5000  0.5000 (multiplicity 1)  12 Co 3.24
Rh  0.0000  0.0000  0.0000 (multiplicity 1)  6 Co 2.29